# BaLi2Hg

Crystalline BaLi2Hg at its relaxed geometry (PBE, the Alexandria database).

Summary:
* formation enthalpy at 0 K: -0.16 eV per atom
* DFT total energy: -6.70 eV/f.u.
* space group: No. 10

a = 4.9666 Å, b = 4.3781 Å, c = 5.9133 Å
α = 79.64°, β = 90.00°, γ = 90.00°
Last column: nearest neighbours and their distance in Å.
Fractional positions:
Li  0.0000  0.9209  0.9209  1 Li 2.72, 2 Hg 2.83
Li  0.0000  0.5791  0.5791  1 Li 2.72, 2 Hg 2.83
Ba  0.5000  0.2500  0.2500  2 Hg 3.35, 4 Li 3.61
Hg  0.5000  0.7500  0.7500  4 Li 2.83